Entry 1:
Density functional theory data (PBE) for a geometry-optimized LaY2ZrH structure.

Computed properties:
Spin magnetization (μB per atom): 0.0000
ΔE to the lowest computed polymorph (eV/atom): 0.000

a b c (Å): 4.936 4.936 4.994
angles (deg): 90.00 90.00 90.00
Space group P4/mmm (No. 123)
Symmetry-distinct sites (fractional):
La  0.000  0.000  0.000
Y  0.000  0.500  0.500
Zr  0.500  0.500  0.000
H  0.000  0.000  0.500

Entry 2:
Density functional theory data (PBE) for a geometry-optimized LaY2ZrH structure.

Computed properties:
Spin magnetization (μB per atom): 0.0000
ΔE to the lowest computed polymorph (eV/atom): 0.007

a b c (Å): 4.961 4.961 4.852
angles (deg): 90.00 90.00 90.00
Space group P4/mmm (No. 123)
Symmetry-distinct sites (fractional):
La  0.000  0.000  0.000
Y  0.000  0.500  0.500
Zr  0.500  0.500  0.000
H  0.500  0.500  0.500

Entry 3:
Density functional theory data (PBE) for a geometry-optimized LaYZr2H structure.

Computed properties:
Spin magnetization (μB per atom): 0.0000
Raw total energy (eV per atom): -6.378

a b c (Å): 4.729 4.729 5.015
angles (deg): 90.00 90.00 90.00
Space group P4/mmm (No. 123)
Symmetry-distinct sites (fractional):
La  0.000  0.000  0.000
Y  0.500  0.500  0.000
Zr  0.000  0.500  0.500
H  0.000  0.000  0.500

Entry 4:
Density functional theory data (PBE) for a geometry-optimized LaZnH6 structure.

Computed properties:
Spin magnetization (μB per atom): 0.0000
Raw total energy (eV per atom): -3.373

a b c (Å): 7.903 4.430 4.949
angles (deg): 90.00 125.97 90.00
Space group C2/m (No. 12)
Symmetry-distinct sites (fractional):
La  0.000  0.000  0.000
Zn  0.000  0.500  0.500
H  0.137  0.500  0.947
H  0.172  0.237  0.551

For reference, N(E_F) by record: 4.6, 3.6, 5.7, 1.3 states/eV/cell.